First-principles (PBE) data for crystalline Ba4Li3Hg at its relaxed geometry, as listed in the Alexandria database.

Structure (POSCAR):
```
Ba4Li3Hg
1.0
4.898 0.000 0.000
0.000 5.269 0.000
0.000 0.000 13.197
Ba Li Hg
4 3 1
Cartesian
0.000 0.000 0.000
0.000 2.634 3.604
2.449 0.000 6.317
2.449 2.634 10.300
0.000 0.000 9.151
0.000 2.634 7.518
2.449 2.634 1.044
2.449 0.000 2.562
```

Output
- Space group: Pmm2, No. 25
- VASP energy: -14.6 eV for the cell shown

---

First-principles (PBE) data for crystalline BaLi2Hg3 at its relaxed geometry, as listed in the Alexandria database.

Structure (POSCAR):
```
BaLi2Hg3
1.0
5.787 -4.514 0.000
5.787 4.514 0.000
0.000 0.000 5.931
Ba Li Hg
2 4 6
Cartesian
5.787 2.928 4.448
5.787 -2.928 1.483
3.441 0.000 0.000
3.441 0.000 2.965
8.133 0.000 0.000
8.133 0.000 2.965
3.649 2.660 1.483
7.925 2.660 1.483
5.787 0.586 1.483
5.787 -0.586 4.448
3.649 -2.660 4.448
7.925 -2.660 4.448
```

Output
- Space group: Cmcm, No. 63
- VASP energy: -18.1 eV for the cell shown

---

In states/eV/cell, the DOS(E_F) values for the records above are, in order, 7.332, 6.985.
In eV per atom, the energy relative to the elements values for the records above are, in order, -0.11, -0.40.